DFT (PBE) results for a relaxed ScCdRe2 crystal.

Computed properties:
Space group   P4mm
Total DFT energy (no corrections)   -32.17 eV per formula unit

Cell: 3.0633 3.0633 7.7005 Å, 90.00 90.00 90.00°
Positions (direct):
Sc  0.0000  0.0000  0.0000
Cd  0.5000  0.5000  0.2970
Re  0.0000  0.0000  0.5635
Re  0.5000  0.5000  0.7489